A relaxed structure of GaNiMo, computed with PBE.

Structure (CIF):
```
data_GaNiMo
_space_group_name_H-M_alt 'P 1'
_space_group_IT_number 1
_space_group_name_Hall 'P 1'
_cell_length_a 4.853
_cell_length_b 4.853
_cell_length_c 5.272
_cell_angle_alpha 113.79
_cell_angle_beta 113.79
_cell_angle_gamma 48.60
loop_
_atom_site_label
_atom_site_type_symbol
_atom_site_fract_x
_atom_site_fract_y
_atom_site_fract_z
Ga1 Ga 0.000 0.000 0.000
Ga2 Ga 0.667 0.667 0.782
Ni1 Ni 0.299 0.299 0.075
Ni2 Ni 0.639 0.639 0.257
Mo1 Mo 0.324 0.324 0.594
Mo2 Mo 0.968 0.968 0.471
```

Output
Calculated formation energy, eV/atom: -0.087
Total DFT energy (no corrections), eV/atom: -6.63
V, Å³ per cell: 84
M_tot, μB/f.u.: 0.00
Symmetry: Cm